[1]
CoHgRh4: relaxed, GGA-PBE.

a b c (Å): 5.141 5.141 5.141
angles (deg): 60.00 60.00 60.00
Last column: magnetic moment on the atom in μB.
Sites, in units of the cell vectors:
Rh (0.874, 0.375, 0.375)  0.58
Rh (0.375, 0.874, 0.375)  0.58
Rh (0.375, 0.375, 0.375)  0.58
Rh (0.375, 0.375, 0.874)  0.58
Co (0.750, 0.750, 0.750)  2.16
Hg (0.000, 0.000, 0.000)  -0.01

For the total magnetic moment, the calculation gives 4.5 μB per formula unit. The density of states at the Fermi level comes out at 1.568 states/eV per atom. The formation energy is 0.454 eV per atom. As for the energy: -5.681 eV/atom. Its space group is F-43m (216).

[2]
LiPr3Se4: relaxed, GGA-PBE.

a b c (Å): 5.982 5.982 5.982
angles (deg): 90.00 90.00 90.00
Sites, in units of the cell vectors:
Se (0.500, 0.000, 0.000)
Se (0.000, 0.500, 0.000)
Se (0.000, 0.000, 0.500)
Se (0.500, 0.500, 0.500)
Pr (0.500, 0.000, 0.500)
Pr (0.000, 0.500, 0.500)
Pr (0.500, 0.500, 0.000)
Li (0.000, 0.000, 0.000)

For the total magnetic moment, the calculation gives 0.0 μB per formula unit. The density of states at the Fermi level comes out at 0.365 states/eV per atom. As for the uncorrected formation energy: -1.776 eV per atom. As for the energy: -5.550 eV/atom. Its space group is Pm-3m (221).

[3]
Nd4Sm3Y2: relaxed, GGA-PBE.

a b c (Å): 3.648 3.648 27.041
angles (deg): 90.00 90.00 120.00
Sites, in units of the cell vectors:
Sm (0.000, 0.000, 0.982)
Sm (0.000, 0.000, 0.321)
Sm (0.667, 0.333, 0.655)
Nd (0.667, 0.333, 0.433)
Nd (0.667, 0.333, 0.214)
Nd (0.000, 0.000, 0.545)
Nd (0.000, 0.000, 0.766)
Y (0.667, 0.333, 0.874)
Y (0.667, 0.333, 0.087)

For the total magnetic moment, the calculation gives 0.1 μB per formula unit. The density of states at the Fermi level comes out at 1.910 states/eV per atom. The formation energy is 0.062 eV per atom. As for the energy: -5.067 eV/atom. Its space group is P3m1 (156).

[4]
TlPt4Cl: relaxed, GGA-PBE.

a b c (Å): 5.426 5.426 5.426
angles (deg): 60.00 60.00 60.00
Sites, in units of the cell vectors:
Pt (0.874, 0.375, 0.375)
Pt (0.375, 0.375, 0.874)
Pt (0.375, 0.874, 0.375)
Pt (0.375, 0.375, 0.375)
Cl (0.000, 0.000, 0.000)
Tl (0.750, 0.750, 0.750)

For the total magnetic moment, the calculation gives 0.0 μB per formula unit. The density of states at the Fermi level comes out at 1.833 states/eV per atom. As for the uncorrected formation energy: 0.308 eV per atom. As for the energy: -4.421 eV/atom. Its space group is F-43m (216).

[5]
Ti4Pd12Au: relaxed, GGA-PBE.

a b c (Å): 7.146 7.146 7.146
angles (deg): 109.47 109.47 109.47
Last column: magnetic moment on the atom in μB.
Sites, in units of the cell vectors:
Pd (0.699, 0.699, 0.000)  -0.03
Pd (0.301, 0.000, 0.301)  -0.03
Pd (0.301, 0.301, 0.000)  -0.03
Pd (0.250, 0.500, 0.750)  -0.02
Pd (0.000, 0.699, 0.699)  -0.03
Pd (0.500, 0.250, 0.750)  -0.02
Pd (0.750, 0.250, 0.500)  -0.02
Pd (0.500, 0.750, 0.250)  -0.02
Pd (0.699, 0.000, 0.699)  -0.03
Pd (0.000, 0.301, 0.301)  -0.03
Pd (0.750, 0.500, 0.250)  -0.02
Pd (0.250, 0.750, 0.500)  -0.02
Ti (0.500, 0.500, 0.500)  0.39
Ti (0.000, 0.500, 0.000)  0.39
Ti (0.500, 0.000, 0.000)  0.39
Ti (0.000, 0.000, 0.500)  0.39
Au (0.000, 0.000, 0.000)  -0.01

For the total magnetic moment, the calculation gives 1.6 μB per formula unit. The density of states at the Fermi level comes out at 0.559 states/eV per atom. The formation energy is -0.220 eV per atom. As for the energy: -5.936 eV/atom. Its space group is Im-3m (229).

[6]
PmAl3CuAg: relaxed, GGA-PBE.

a b c (Å): 6.067 6.064 6.998
angles (deg): 115.67 90.00 90.00
Sites, in units of the cell vectors:
Al (0.750, 0.866, 0.733)
Al (0.000, 0.284, 0.000)
Al (0.000, 0.716, 0.000)
Al (0.250, 0.134, 0.267)
Al (0.500, 0.716, 0.000)
Al (0.500, 0.284, 0.000)
Ag (0.750, 0.654, 0.308)
Ag (0.250, 0.346, 0.692)
Pm (0.250, 0.710, 0.420)
Pm (0.750, 0.290, 0.580)
Cu (0.750, 0.073, 0.145)
Cu (0.250, 0.927, 0.855)

For the total magnetic moment, the calculation gives 0.0 μB per formula unit. The density of states at the Fermi level comes out at 0.471 states/eV per atom. The formation energy is -0.176 eV per atom. As for the energy: -3.997 eV/atom. Its space group is Cmcm (63).

[7]
TbY2Ag2: relaxed, GGA-PBE.

a b c (Å): 4.917 5.637 10.266
angles (deg): 80.52 90.00 90.00
Sites, in units of the cell vectors:
Y (0.750, 0.111, 0.124)
Y (0.250, 0.889, 0.876)
Y (0.250, 0.214, 0.531)
Y (0.750, 0.786, 0.469)
Tb (0.750, 0.383, 0.778)
Tb (0.250, 0.617, 0.222)
Ag (0.750, 0.640, 0.024)
Ag (0.750, 0.332, 0.363)
Ag (0.250, 0.668, 0.637)
Ag (0.250, 0.360, 0.976)

For the total magnetic moment, the calculation gives 0.0 μB per formula unit. The density of states at the Fermi level comes out at 1.005 states/eV per atom. The formation energy is -0.109 eV per atom. As for the energy: -4.762 eV/atom. Its space group is P2_1/m (11).

[8]
MnP4Rh2: relaxed, GGA-PBE.

a b c (Å): 4.448 4.448 6.603
angles (deg): 70.32 70.32 90.00
Last column: magnetic moment on the atom in μB.
Sites, in units of the cell vectors:
Mn (0.000, 0.000, 0.000)  1.88
P (0.802, 0.802, 0.396)  0.03
P (0.500, 0.000, 0.000)  -0.01
P (0.000, 0.500, 0.000)  -0.01
P (0.198, 0.198, 0.604)  0.03
Rh (0.386, 0.386, 0.228)  0.03
Rh (0.614, 0.614, 0.772)  0.03

For the total magnetic moment, the calculation gives 2.1 μB per formula unit. The density of states at the Fermi level comes out at 0.762 states/eV per atom. The formation energy is 0.221 eV per atom. As for the energy: -6.280 eV/atom. Its space group is I4/mmm (139).

[9]
Rb2PmCl5: relaxed, GGA-PBE.

a b c (Å): 8.370 8.927 13.486
angles (deg): 90.00 90.00 90.00
Sites, in units of the cell vectors:
Cl (0.901, 0.750, 0.487)
Cl (0.660, 0.042, 0.430)
Cl (0.401, 0.250, 0.013)
Cl (0.150, 0.250, 0.806)
Cl (0.387, 0.750, 0.326)
Cl (0.160, 0.542, 0.070)
Cl (0.340, 0.958, 0.570)
Cl (0.850, 0.750, 0.194)
Cl (0.113, 0.750, 0.826)
Cl (0.599, 0.750, 0.987)
Cl (0.340, 0.542, 0.570)
Cl (0.099, 0.250, 0.513)
Cl (0.840, 0.458, 0.930)
Cl (0.160, 0.958, 0.070)
Cl (0.350, 0.250, 0.306)
Cl (0.840, 0.042, 0.930)
Cl (0.613, 0.250, 0.674)
Cl (0.887, 0.250, 0.174)
Cl (0.660, 0.458, 0.430)
Cl (0.650, 0.750, 0.694)
Pm (0.430, 0.250, 0.505)
Pm (0.070, 0.250, 0.005)
Pm (0.930, 0.750, 0.995)
Pm (0.570, 0.750, 0.495)
Rb (0.057, 0.995, 0.329)
Rb (0.557, 0.495, 0.171)
Rb (0.057, 0.505, 0.329)
Rb (0.557, 0.005, 0.171)
Rb (0.943, 0.495, 0.671)
Rb (0.443, 0.995, 0.829)
Rb (0.943, 0.005, 0.671)
Rb (0.443, 0.505, 0.829)

For the total magnetic moment, the calculation gives 0.0 μB per formula unit. The density of states at the Fermi level comes out at 0.000 states/eV per atom. As for the uncorrected formation energy: -2.175 eV per atom. As for the energy: -4.165 eV/atom. Its space group is Pnma (62).

[10]
MgSc2Se4: relaxed, GGA-PBE.

a b c (Å): 3.833 12.701 13.356
angles (deg): 90.00 90.00 90.00
Sites, in units of the cell vectors:
Se (0.750, 0.969, 0.121)
Se (0.750, 0.521, 0.881)
Se (0.250, 0.031, 0.879)
Se (0.250, 0.249, 0.517)
Se (0.250, 0.217, 0.252)
Se (0.750, 0.751, 0.483)
Se (0.750, 0.469, 0.379)
Se (0.250, 0.479, 0.119)
Se (0.250, 0.979, 0.381)
Se (0.250, 0.749, 0.983)
Se (0.750, 0.251, 0.017)
Se (0.250, 0.531, 0.621)
Se (0.750, 0.021, 0.619)
Se (0.250, 0.717, 0.248)
Se (0.750, 0.283, 0.752)
Se (0.750, 0.783, 0.748)
Sc (0.750, 0.890, 0.926)
Sc (0.250, 0.610, 0.426)
Sc (0.750, 0.390, 0.574)
Sc (0.750, 0.850, 0.300)
Sc (0.250, 0.110, 0.074)
Sc (0.250, 0.650, 0.800)
Sc (0.750, 0.350, 0.200)
Sc (0.250, 0.150, 0.700)
Mg (0.750, 0.618, 0.061)
Mg (0.250, 0.382, 0.939)
Mg (0.250, 0.882, 0.561)
Mg (0.750, 0.118, 0.439)

For the total magnetic moment, the calculation gives 0.0 μB per formula unit. As for the uncorrected formation energy: -1.511 eV per atom. As for the energy: -5.539 eV/atom. Its space group is Pnma (62).

[11]
MgCd2I6: relaxed, GGA-PBE.

a b c (Å): 7.638 11.211 11.211
angles (deg): 92.21 73.87 73.87
Sites, in units of the cell vectors:
Cd (0.121, 0.637, 0.797)
Cd (0.379, 0.203, 0.363)
Cd (0.879, 0.363, 0.203)
Cd (0.621, 0.797, 0.637)
I (0.125, 0.173, 0.592)
I (0.375, 0.408, 0.827)
I (0.932, 0.200, 0.987)
I (0.696, 0.255, 0.410)
I (0.875, 0.827, 0.408)
I (0.804, 0.590, 0.745)
I (0.304, 0.745, 0.590)
I (0.432, 0.987, 0.200)
I (0.068, 0.800, 0.013)
I (0.196, 0.410, 0.255)
I (0.625, 0.592, 0.173)
I (0.568, 0.013, 0.800)
Mg (0.250, 0.205, 0.795)
Mg (0.750, 0.795, 0.205)

For the total magnetic moment, the calculation gives 0.0 μB per formula unit. The density of states at the Fermi level comes out at 0.000 states/eV per atom. As for the uncorrected formation energy: -0.723 eV per atom. As for the energy: -2.137 eV/atom. Its space group is C2/c (15).

[12]
SrCd: relaxed, GGA-PBE.

a b c (Å): 7.495 7.495 7.977
angles (deg): 66.51 66.51 31.63
Sites, in units of the cell vectors:
Sr (0.994, 0.994, 0.505)
Sr (0.248, 0.248, 0.899)
Sr (0.957, 0.957, 0.044)
Cd (0.630, 0.630, 0.688)
Cd (0.305, 0.305, 0.430)
Cd (0.700, 0.700, 0.269)

For the total magnetic moment, the calculation gives 0.0 μB per formula unit. The density of states at the Fermi level comes out at 0.701 states/eV per atom. The formation energy is -0.214 eV per atom. As for the energy: -1.513 eV/atom. Its space group is Cm (8).